[1]
## Ag2PtAu2 (GGA-PBE)

Data for a geometry-optimized Ag2PtAu2 structure.

```
Ag2PtAu2
1.0
-1.929 1.929 6.339
1.929 -1.929 6.339
1.929 1.929 -6.339
Ag Au Pt
2 2 1
Cartesian
0.000 0.000 5.096 Ag
0.000 0.000 7.583 Ag
0.000 1.929 3.170 Au
1.929 0.000 3.170 Au
0.000 0.000 0.000 Pt
```

Results
Uncorrected energy: -3.22 eV per atom
Magnetization: 0.00 μB/atom
Formation energy: 0.423 eV per atom

[2]
## AgPtAu2 (GGA-PBE)

Data for a geometry-optimized AgPtAu2 structure.

```
AgPtAu2
1.0
1.734 -3.178 2.859
2.338 1.307 3.756
-1.845 -0.589 4.187
Ag Au Pt
1 2 1
Cartesian
1.670 -1.845 8.101 Ag
0.557 -0.615 2.700 Au
1.113 -1.230 5.401 Au
0.000 0.000 0.000 Pt
```

Results
Uncorrected energy: -3.80 eV per atom
Magnetization: 0.00 μB/atom
Formation energy: 0.051 eV per atom